No. 1
The following is a DFT calculation (GGA-PBE) of a relaxed PmPuGa3 crystal.

```
PmPuGa3
1.0
1.843 -13.670 0.000
1.843 13.670 0.000
0.000 0.000 4.418
Pm Pu Ga
2 2 6
Cartesian
1.843 11.714 3.314
1.843 -11.714 1.105
1.843 7.826 1.105
1.843 -7.826 3.314
1.843 4.670 1.105
1.843 3.271 3.314
1.843 0.660 3.314
1.843 -0.660 1.105
1.843 -3.271 1.105
1.843 -4.670 3.314
```

formation energy from the elements	-46.7	kJ/mol of atoms
size of the total moment	11.83	Bohr magnetons per cell
crystal system	orthorhombic
symmetry	Cmcm, No. 63

No. 2
The following is a DFT calculation (GGA-PBE) of a relaxed PmPuGa6 crystal.

```
PmPuGa6
1.0
6.312 0.000 0.000
-3.156 5.467 0.000
0.000 0.000 4.623
Pm Pu Ga
1 1 6
Cartesian
0.000 0.000 0.000
0.000 3.644 2.312
1.764 1.019 2.312
3.156 0.178 0.000
1.732 2.644 0.000
4.548 1.019 2.312
3.156 3.429 2.312
4.580 2.644 0.000
```

formation energy from the elements	-45.7	kJ/mol of atoms
size of the total moment	5.36	Bohr magnetons per cell
crystal system	hexagonal
symmetry	P-6m2, No. 187

No. 3
The following is a DFT calculation (GGA-PBE) of a relaxed Pm2PuGa3Rh4 crystal.

```
Pm2PuGa3Rh4
1.0
4.306 0.000 0.000
0.000 4.306 0.000
0.000 0.000 10.734
Pm Pu Ga Rh
2 1 3 4
Cartesian
0.000 2.153 2.394
2.153 0.000 8.340
0.000 0.000 5.367
0.000 2.153 9.464
2.153 0.000 1.270
2.153 2.153 5.367
0.000 0.000 0.000
0.000 2.153 6.964
2.153 0.000 3.769
2.153 2.153 0.000
```

formation energy from the elements	-69.6	kJ/mol of atoms
size of the total moment	5.49	Bohr magnetons per cell
crystal system	tetragonal
symmetry	P-4m2, No. 115

No. 4
The following is a DFT calculation (GGA-PBE) of a relaxed PmPuGaRu crystal.

```
PmPuGaRu
1.0
0.000 3.530 3.530
3.530 0.000 3.530
3.530 3.530 0.000
Pm Pu Ga Ru
1 1 1 1
Cartesian
0.000 0.000 0.000
3.530 3.530 3.530
1.765 1.765 1.765
5.296 5.296 5.296
```

formation energy from the elements	-18.9	kJ/mol of atoms
size of the total moment	4.98	Bohr magnetons per cell
crystal system	cubic
symmetry	F-43m, No. 216

No. 5
The following is a DFT calculation (GGA-PBE) of a relaxed PmSmPuGa crystal.

```
PmSmPuGa
1.0
0.000 3.790 3.790
3.790 0.000 3.790
3.790 3.790 0.000
Pm Sm Pu Ga
1 1 1 1
Cartesian
0.000 0.000 0.000
1.895 1.895 1.895
5.686 5.686 5.686
3.790 3.790 3.790
```

formation energy from the elements	4.1	kJ/mol of atoms
size of the total moment	6.65	Bohr magnetons per cell
crystal system	cubic
symmetry	F-43m, No. 216

No. 6
The following is a DFT calculation (GGA-PBE) of a relaxed PmPuGaTc crystal.

```
PmPuGaTc
1.0
0.000 3.529 3.529
3.529 0.000 3.529
3.529 3.529 0.000
Pm Pu Ga Tc
1 1 1 1
Cartesian
0.000 0.000 0.000
3.529 3.529 3.529
5.294 5.294 5.294
1.765 1.765 1.765
```

formation energy from the elements	-2.1	kJ/mol of atoms
size of the total moment	4.87	Bohr magnetons per cell
crystal system	cubic
symmetry	F-43m, No. 216

No. 7
The following is a DFT calculation (GGA-PBE) of a relaxed PmPuTlGa crystal.

```
PmPuTlGa
1.0
0.000 3.762 3.762
3.762 0.000 3.762
3.762 3.762 0.000
Pm Pu Tl Ga
1 1 1 1
Cartesian
0.000 0.000 0.000
3.762 3.762 3.762
1.881 1.881 1.881
5.643 5.643 5.643
```

formation energy from the elements	-22.2	kJ/mol of atoms
size of the total moment	6.09	Bohr magnetons per cell
crystal system	cubic
symmetry	F-43m, No. 216

No. 8
The following is a DFT calculation (GGA-PBE) of a relaxed PmPuZnGa crystal.

```
PmPuZnGa
1.0
0.000 3.628 3.628
3.628 0.000 3.628
3.628 3.628 0.000
Pm Pu Zn Ga
1 1 1 1
Cartesian
0.000 0.000 0.000
3.628 3.628 3.628
1.814 1.814 1.814
5.442 5.442 5.442
```

formation energy from the elements	-27.2	kJ/mol of atoms
size of the total moment	6.19	Bohr magnetons per cell
crystal system	cubic
symmetry	F-43m, No. 216

No. 9
The following is a DFT calculation (GGA-PBE) of a relaxed RbPmGaSe3 crystal.

```
RbPmGaSe3
1.0
9.189 0.000 0.000
0.000 4.653 0.000
-2.971 0.000 9.505
Rb Pm Ga Se
2 2 2 6
Cartesian
1.167 1.163 2.234
5.051 3.490 7.272
0.519 3.490 8.163
5.699 1.163 1.343
-0.725 1.163 5.638
6.943 3.490 3.867
-1.438 1.163 8.066
0.177 3.490 5.095
3.792 3.490 1.512
2.426 1.163 7.993
6.041 1.163 4.410
7.657 3.490 1.439
```

size of the total moment	0.00	Bohr magnetons per cell
E_form (uncorrected)	-7.5	eV per formula unit
crystal system	monoclinic
symmetry	P2_1/m, No. 11

No. 10
The following is a DFT calculation (GGA-PBE) of a relaxed RbPmGaTe3 crystal.

```
RbPmGaTe3
1.0
9.848 0.000 0.000
0.000 4.776 0.000
-3.114 0.000 10.251
Rb Pm Ga Te
2 2 2 6
Cartesian
1.223 1.194 2.425
5.511 3.582 7.826
0.647 3.582 8.856
6.086 1.194 1.395
-0.960 1.194 6.150
7.694 3.582 4.100
-1.525 1.194 8.816
0.350 3.582 5.564
3.989 3.582 1.704
2.744 1.194 8.547
6.384 1.194 4.687
8.258 3.582 1.434
```

size of the total moment	0.00	Bohr magnetons per cell
E_form (uncorrected)	-5.8	eV per formula unit
crystal system	monoclinic
symmetry	P2_1/m, No. 11

No. 11
The following is a DFT calculation (GGA-PBE) of a relaxed Rb3Pm3GaTe8 crystal.

```
Rb3Pm3GaTe8
1.0
7.733 -4.468 0.000
7.733 4.468 0.000
-5.160 0.000 8.889
Rb Pm Ga Te
3 3 1 8
Cartesian
0.000 0.000 0.000
3.866 2.234 0.000
3.866 -2.234 0.000
1.287 2.234 4.444
1.287 -2.234 4.444
5.153 0.000 4.444
-2.580 0.000 4.444
-0.194 0.000 6.134
3.941 2.368 6.153
6.365 2.368 2.736
2.573 0.000 2.614
7.733 0.000 6.275
3.941 -2.368 6.153
6.365 -2.368 2.736
10.501 0.000 2.755
```

size of the total moment	0.00	Bohr magnetons per cell
E_form (uncorrected)	-15.9	eV per formula unit
crystal system	monoclinic
symmetry	C2/m, No. 12

No. 12
The following is a DFT calculation (GGA-PBE) of a relaxed Pm4Ga12Re crystal.

```
Pm4Ga12Re
1.0
-4.382 4.382 4.382
4.382 -4.382 4.382
4.382 4.382 -4.382
Pm Ga Re
4 12 1
Cartesian
2.191 2.191 -2.191
2.191 -2.191 2.191
-2.191 2.191 2.191
2.191 2.191 2.191
2.548 0.000 0.000
6.216 0.000 0.000
4.382 2.191 0.000
4.382 0.000 2.191
0.000 2.548 0.000
0.000 0.000 2.548
2.191 4.382 0.000
2.191 0.000 4.382
0.000 6.216 0.000
0.000 0.000 6.216
0.000 4.382 2.191
0.000 2.191 4.382
0.000 0.000 0.000
```

formation energy from the elements	-50.5	kJ/mol of atoms
size of the total moment	0.00	Bohr magnetons per cell
crystal system	cubic
symmetry	Im-3m, No. 229

Q: What is the size of the total moment in the eleventh record?
A: 0.00 Bohr magnetons per cell